# PBE GaBO3, relaxed
data_GaBO3
_chemical_formula_sum 'Ga1 B1 O3'
_space_group_name_H-M_alt 'P m -3 m'
_space_group_IT_number 221
_space_group_name_Hall '-P 4 2 3'
_cell_length_a 3.3659
_cell_length_b 3.3659
_cell_length_c 3.3659
_cell_angle_alpha 90.00
_cell_angle_beta 90.00
_cell_angle_gamma 90.00
loop_
_atom_site_label
_atom_site_type_symbol
_atom_site_fract_x
_atom_site_fract_y
_atom_site_fract_z
Ga1 Ga 0.0000 0.0000 0.0000
B1 B 0.5000 0.5000 0.5000
O1 O 0.0000 0.5000 0.5000
# Total energy (eV per formula unit): -28.1

=====

# PBE GaB2O, relaxed
data_GaB2O
_chemical_formula_sum 'Ga4 B8 O4'
_space_group_name_H-M_alt 'I -4 2 d'
_space_group_IT_number 122
_space_group_name_Hall 'I -4 2bw'
_cell_length_a 4.2626
_cell_length_b 4.2626
_cell_length_c 8.9196
_cell_angle_alpha 90.00
_cell_angle_beta 90.00
_cell_angle_gamma 90.00
loop_
_atom_site_label
_atom_site_type_symbol
_atom_site_fract_x
_atom_site_fract_y
_atom_site_fract_z
Ga1 Ga 0.0000 0.0000 0.0000
B1 B 0.1570 0.2500 0.6250
O1 O 0.0000 0.0000 0.5000
# Total energy (eV per formula unit): -20.0

=====

# PBE Ga4B2O9, relaxed
data_Ga4B2O9
_chemical_formula_sum 'Ga16 B8 O36'
_space_group_name_H-M_alt 'C 1 m 1'
_space_group_IT_number 8
_space_group_name_Hall 'C -2y'
_cell_length_a 15.3491
_cell_length_b 5.7966
_cell_length_c 10.9863
_cell_angle_alpha 90.00
_cell_angle_beta 133.92
_cell_angle_gamma 90.00
loop_
_atom_site_label
_atom_site_type_symbol
_atom_site_fract_x
_atom_site_fract_y
_atom_site_fract_z
Ga1 Ga 0.0000 0.0000 0.0000
Ga2 Ga 0.0110 0.0000 0.5547
Ga3 Ga 0.1454 0.0000 0.4553
Ga4 Ga 0.2404 0.2490 0.3222
Ga5 Ga 0.2436 0.2476 0.8305
Ga6 Ga 0.3174 0.5000 0.1634
B1 B 0.2045 0.0000 0.0432
B2 B 0.2247 0.5000 0.5586
B3 B 0.4890 0.0000 0.5968
B4 B 0.4901 0.0000 0.0348
O1 O 0.0551 0.2958 0.6592
O2 O 0.0742 0.0000 0.9265
O3 O 0.1119 0.5000 0.1719
O4 O 0.1258 0.0000 0.2450
O5 O 0.1907 0.0000 0.6722
O6 O 0.2142 0.2936 0.4843
O7 O 0.2465 0.0000 0.9551
O8 O 0.2466 0.5000 0.7031
O9 O 0.2581 0.2121 0.1620
O10 O 0.2854 0.5000 0.9690
O11 O 0.3464 0.5000 0.4243
O12 O 0.3641 0.0000 0.4777
O13 O 0.4252 0.2075 0.9625
O14 O 0.4861 0.5000 0.3564
# Total energy (eV per formula unit): -100.4

=====

# PBE Ga4B2O9, relaxed
data_Ga4B2O9
_chemical_formula_sum 'Ga16 B8 O36'
_space_group_name_H-M_alt 'C 1 2/m 1'
_space_group_IT_number 12
_space_group_name_Hall '-C 2y'
_cell_length_a 16.0004
_cell_length_b 5.6964
_cell_length_c 11.3092
_cell_angle_alpha 90.00
_cell_angle_beta 134.00
_cell_angle_gamma 90.00
loop_
_atom_site_label
_atom_site_type_symbol
_atom_site_fract_x
_atom_site_fract_y
_atom_site_fract_z
Ga1 Ga 0.0025 0.0000 0.2630
Ga2 Ga 0.1313 0.0000 0.1359
Ga3 Ga 0.2500 0.2500 0.0000
Ga4 Ga 0.2500 0.2500 0.5000
B1 B 0.0046 0.5000 0.7040
B2 B 0.2098 0.5000 0.2116
O1 O 0.0041 0.0000 0.9018
O2 O 0.0606 0.2917 0.3680
O3 O 0.1246 0.5000 0.8368
O4 O 0.1565 0.0000 0.8722
O5 O 0.2003 0.2860 0.1417
O6 O 0.2100 0.0000 0.3672
O7 O 0.2268 0.5000 0.3510
# Total energy (eV per formula unit): -99.9

=====

# PBE GaBO3, relaxed
data_GaBO3
_chemical_formula_sum 'Ga3 B3 O9'
_space_group_name_H-M_alt 'R 3 m'
_space_group_IT_number 160
_space_group_name_Hall 'R 3 -2"'
_cell_length_a 5.3838
_cell_length_b 5.3838
_cell_length_c 10.1220
_cell_angle_alpha 90.00
_cell_angle_beta 90.00
_cell_angle_gamma 120.00
loop_
_atom_site_label
_atom_site_type_symbol
_atom_site_fract_x
_atom_site_fract_y
_atom_site_fract_z
Ga1 Ga 0.0000 0.0000 0.0000
B1 B 0.0000 0.0000 0.6668
O1 O 0.0403 0.5201 0.3367
# Total energy (eV per formula unit): -33.5

=====

# PBE Ga3BO6, relaxed
data_Ga3BO6
_chemical_formula_sum 'Ga12 B4 O24'
_space_group_name_H-M_alt 'C m c 21'
_space_group_IT_number 36
_space_group_name_Hall 'C 2c -2'
_cell_length_a 7.8365
_cell_length_b 10.4439
_cell_length_c 4.7009
_cell_angle_alpha 90.00
_cell_angle_beta 90.00
_cell_angle_gamma 90.00
loop_
_atom_site_label
_atom_site_type_symbol
_atom_site_fract_x
_atom_site_fract_y
_atom_site_fract_z
Ga1 Ga 0.0000 0.0876 0.0000
Ga2 Ga 0.1948 0.3875 0.9038
B1 B 0.0000 0.2982 0.3352
O1 O 0.0000 0.3195 0.6405
O2 O 0.0000 0.4176 0.1538
O3 O 0.1474 0.2225 0.2107
O4 O 0.1681 0.0337 0.7137
# Total energy (eV per formula unit): -63.9

=====

# PBE GaBO, relaxed
data_GaBO
_chemical_formula_sum 'Ga2 B2 O2'
_space_group_name_H-M_alt 'P -1'
_space_group_IT_number 2
_space_group_name_Hall '-P 1'
_cell_length_a 3.6965
_cell_length_b 4.6292
_cell_length_c 5.5025
_cell_angle_alpha 78.27
_cell_angle_beta 85.55
_cell_angle_gamma 67.45
loop_
_atom_site_label
_atom_site_type_symbol
_atom_site_fract_x
_atom_site_fract_y
_atom_site_fract_z
Ga1 Ga 0.0490 0.3935 0.2339
B1 B 0.3805 0.6435 0.3809
O1 O 0.2924 0.9476 0.2856
# Total energy (eV per formula unit): -17.0

=====

# PBE GaB2O, relaxed
data_GaB2O
_chemical_formula_sum 'Ga4 B8 O4'
_space_group_name_H-M_alt 'F m -3 m'
_space_group_IT_number 225
_space_group_name_Hall '-F 4 2 3'
_cell_length_a 5.4751
_cell_length_b 5.4751
_cell_length_c 5.4751
_cell_angle_alpha 90.00
_cell_angle_beta 90.00
_cell_angle_gamma 90.00
loop_
_atom_site_label
_atom_site_type_symbol
_atom_site_fract_x
_atom_site_fract_y
_atom_site_fract_z
Ga1 Ga 0.0000 0.0000 0.0000
B1 B 0.2500 0.2500 0.2500
O1 O 0.0000 0.0000 0.5000
# Total energy (eV per formula unit): -14.9

=====

# PBE GaBPO2, relaxed
data_GaBPO2
_chemical_formula_sum 'Ga1 B1 P1 O2'
_space_group_name_H-M_alt 'P 4/m m m'
_space_group_IT_number 123
_space_group_name_Hall '-P 4 2'
_cell_length_a 3.5007
_cell_length_b 3.5007
_cell_length_c 6.6519
_cell_angle_alpha 90.00
_cell_angle_beta 90.00
_cell_angle_gamma 90.00
loop_
_atom_site_label
_atom_site_type_symbol
_atom_site_fract_x
_atom_site_fract_y
_atom_site_fract_z
Ga1 Ga 0.0000 0.0000 0.0000
B1 B 0.5000 0.5000 0.5000
P1 P 0.0000 0.0000 0.5000
O1 O 0.0000 0.5000 0.0000
# Total energy (eV per formula unit): -22.6

=====

# PBE GaBP2O, relaxed
data_GaBP2O
_chemical_formula_sum 'Ga1 B1 P2 O1'
_space_group_name_H-M_alt 'P 4/m m m'
_space_group_IT_number 123
_space_group_name_Hall '-P 4 2'
_cell_length_a 4.9817
_cell_length_b 4.9817
_cell_length_c 2.7189
_cell_angle_alpha 90.00
_cell_angle_beta 90.00
_cell_angle_gamma 90.00
loop_
_atom_site_label
_atom_site_type_symbol
_atom_site_fract_x
_atom_site_fract_y
_atom_site_fract_z
Ga1 Ga 0.0000 0.0000 0.0000
B1 B 0.5000 0.5000 0.5000
P1 P 0.0000 0.5000 0.5000
O1 O 0.5000 0.5000 0.0000
# Total energy (eV per formula unit): -25.0

=====

# PBE GaBPO2, relaxed
data_GaBPO2
_chemical_formula_sum 'Ga1 B1 P1 O2'
_space_group_name_H-M_alt 'P 4/m m m'
_space_group_IT_number 123
_space_group_name_Hall '-P 4 2'
_cell_length_a 3.2043
_cell_length_b 3.2043
_cell_length_c 6.5369
_cell_angle_alpha 90.00
_cell_angle_beta 90.00
_cell_angle_gamma 90.00
loop_
_atom_site_label
_atom_site_type_symbol
_atom_site_fract_x
_atom_site_fract_y
_atom_site_fract_z
Ga1 Ga 0.0000 0.0000 0.0000
B1 B 0.5000 0.5000 0.5000
P1 P 0.5000 0.5000 0.0000
O1 O 0.0000 0.5000 0.5000
# Total energy (eV per formula unit): -25.6

=====

# PBE GaBP2O, relaxed
data_GaBP2O
_chemical_formula_sum 'Ga1 B1 P2 O1'
_space_group_name_H-M_alt 'P 4/m m m'
_space_group_IT_number 123
_space_group_name_Hall '-P 4 2'
_cell_length_a 4.8510
_cell_length_b 4.8510
_cell_length_c 3.5223
_cell_angle_alpha 90.00
_cell_angle_beta 90.00
_cell_angle_gamma 90.00
loop_
_atom_site_label
_atom_site_type_symbol
_atom_site_fract_x
_atom_site_fract_y
_atom_site_fract_z
Ga1 Ga 0.0000 0.0000 0.0000
B1 B 0.5000 0.5000 0.5000
P1 P 0.0000 0.5000 0.0000
O1 O 0.0000 0.0000 0.5000
# Total energy (eV per formula unit): -19.6

=====

- The highest total energy belongs to which entry?
  number 8

=====

What did the first record say?
# PBE GaBO3, relaxed
data_GaBO3
_chemical_formula_sum 'Ga1 B1 O3'
_space_group_name_H-M_alt 'P m -3 m'
_space_group_IT_number 221
_space_group_name_Hall '-P 4 2 3'
_cell_length_a 3.3659
_cell_length_b 3.3659
_cell_length_c 3.3659
_cell_angle_alpha 90.00
_cell_angle_beta 90.00
_cell_angle_gamma 90.00
loop_
_atom_site_label
_atom_site_type_symbol
_atom_site_fract_x
_atom_site_fract_y
_atom_site_fract_z
Ga1 Ga 0.0000 0.0000 0.0000
B1 B 0.5000 0.5000 0.5000
O1 O 0.0000 0.5000 0.5000
# Total energy (eV per formula unit): -28.1

=====

Please write out number 2 again, unchanged.
# PBE GaB2O, relaxed
data_GaB2O
_chemical_formula_sum 'Ga4 B8 O4'
_space_group_name_H-M_alt 'I -4 2 d'
_space_group_IT_number 122
_space_group_name_Hall 'I -4 2bw'
_cell_length_a 4.2626
_cell_length_b 4.2626
_cell_length_c 8.9196
_cell_angle_alpha 90.00
_cell_angle_beta 90.00
_cell_angle_gamma 90.00
loop_
_atom_site_label
_atom_site_type_symbol
_atom_site_fract_x
_atom_site_fract_y
_atom_site_fract_z
Ga1 Ga 0.0000 0.0000 0.0000
B1 B 0.1570 0.2500 0.6250
O1 O 0.0000 0.0000 0.5000
# Total energy (eV per formula unit): -20.0

=====

- Number 7 is which compound?
  GaBO